Computed, not measured: a crystal of FeCo2Si relaxed with PBEsol at the meta-GGA SCAN level of DFT.

total magnetization = 5.7 μB per formula unit
DOS at the Fermi energy = 0.47 states/eV/atom
uncorrected formation energy = -0.18 eV per atom

Cell lengths 2.495, 4.395, 4.589 Å; angles 116.56, 102.48, 96.67 degrees
Element x y z (fractional)
Si (0.000, 0.500, 0.000)
Co (0.500, 0.500, 0.500)
Co (0.000, 0.000, 0.500)
Fe (0.500, 0.000, 0.000)

---

Computed, not measured: a crystal of Mn4Co relaxed with PBEsol at the meta-GGA SCAN level of DFT.

calculated formation energy = 0.2529 eV per atom
total magnetization = 0.0 μB per formula unit
DOS at the Fermi energy = 1.36 states/eV/atom

Cell lengths 3.453, 4.214, 4.214 Å; angles 80.34, 65.81, 65.81 degrees
Element x y z (fractional)
Mn (0.397, 0.806, 0.400)
Mn (0.203, 0.400, 0.194)
Mn (0.603, 0.194, 0.600)
Mn (0.797, 0.600, 0.806)
Co (0.000, 0.000, 0.000)

---

Computed, not measured: a crystal of BaZrNi relaxed with PBEsol at the meta-GGA SCAN level of DFT.

calculated formation energy = 1.4370 eV per atom
total magnetization = 0.0 μB per formula unit
energy relative to the lowest polymorph listed for this composition = 1130.8 meV per atom
DOS at the Fermi energy = 0.92 states/eV/atom

Cell lengths 4.637, 4.637, 4.637 Å; angles 60.00, 60.00, 60.00 degrees
Element x y z (fractional)
Zr (0.500, 0.500, 0.500)
Ni (0.000, 0.000, 0.000)
Ba (0.250, 0.250, 0.250)

---

Computed, not measured: a crystal of RhS2N relaxed with PBEsol at the meta-GGA SCAN level of DFT.

total magnetization = 0.0 μB per formula unit
DOS at the Fermi energy = 0.12 states/eV/atom
uncorrected formation energy = 0.09 eV per atom

Cell lengths 3.613, 3.613, 5.758 Å; angles 71.72, 71.72, 60.00 degrees
Element x y z (fractional)
S (0.097, 0.097, 0.710)
S (0.903, 0.903, 0.290)
N (0.000, 0.000, 0.000)
Rh (0.500, 0.500, 0.500)